## SmAl2Ga2 (PBE-GGA)

Data for an optimized crystal structure of SmAl2Ga2.

Values from the calculation:
Space-group type: No. 166
E in eV/atom: -3.95
Energy of formation in eV/atom: -0.302

Cell: 4.4527 4.4527 6.4269 Å, 69.73 69.73 60.00°
Last column: nearest neighbours and their distance in Å.
Element x y z (fractional)
Ga1 0.5775 0.0775 0.2674  3 Al 2.67, 1 Ga 2.74
Sm1 0.0000 0.5000 0.0000  6 Ga 3.02
Ga2 0.4225 0.9225 0.7326  3 Al 2.67, 1 Ga 2.74
Al1 0.2027 0.7027 0.3918  3 Ga 2.67, 3 Al 2.87
Al2 0.7973 0.2973 0.6082  3 Ga 2.67, 3 Al 2.87

***

## LiZr2Ni (PBE-GGA)

Data for an optimized crystal structure of LiZr2Ni.

Values from the calculation:
Space-group type: No. 99
E in eV/atom: -6.27
Energy of formation in eV/atom: -0.072

Cell: 3.2628 3.2628 6.7359 Å, 90.00 90.00 90.00°
Last column: nearest neighbours and their distance in Å.
Element x y z (fractional)
Li1 0.0000 0.0000 0.5453  4 Ni 2.65, 1 Zr 2.75
Zr1 0.0000 0.0000 0.9541  4 Ni 2.72, 1 Li 2.75
Ni1 0.5000 0.5000 0.7403  4 Li 2.65, 4 Zr 2.72
Zr2 0.5000 0.5000 0.2603  4 Li 3.00, 8 Zr 3.09-3.26, 1 Ni 3.23

***

## K2TlHg (PBE-GGA)

Data for an optimized crystal structure of K2TlHg.

Values from the calculation:
Space-group type: No. 216
E above lowest polymorph in eV/atom: 0.052
E in eV/atom: -1.31
Energy of formation in eV/atom: -0.093

Cell: 5.8421 5.8421 5.8421 Å, 60.00 60.00 60.00°
Last column: nearest neighbours and their distance in Å.
Element x y z (fractional)
K1 0.2500 0.2500 0.2500  4 Hg 3.58, 4 K 3.58
K2 0.0000 0.0000 0.0000  4 Tl 3.58, 4 K 3.58
Hg1 0.5000 0.5000 0.5000  4 Tl 3.58, 4 K 3.58
Tl1 0.7500 0.7500 0.7500  4 K 3.58, 4 Hg 3.58

***

## HfHRh3 (PBE-GGA)

Data for an optimized crystal structure of HfHRh3.

Values from the calculation:
Space-group type: No. 12
E above lowest polymorph in eV/atom: 0.275
E in eV/atom: -7.49

Cell: 22.0144 3.9973 8.1830 Å, 90.00 158.54 90.00°
Last column: nearest neighbours and their distance in Å.
Element x y z (fractional)
Rh1 0.6390 0.5004 0.7104  2 H 1.85
Rh2 0.3716 0.9997 0.0490  2 H 1.82
Hf1 0.3713 0.4997 0.8158  11 Rh 2.74-2.94, 1 Hf 3.07
Rh3 0.1284 0.4997 0.4510  2 H 1.82
Rh4 0.6284 0.0003 0.9510  2 H 1.82
Rh5 0.8737 0.5003 0.0638  7 Rh 2.69-2.90, 5 Hf 2.87-2.94
Hf2 0.1287 0.9997 0.6842  11 Rh 2.74-2.94, 1 Hf 3.07
Rh6 0.3737 0.9997 0.5638  7 Rh 2.69-2.90, 5 Hf 2.87-2.94
Rh7 0.1263 0.4997 0.9362  7 Rh 2.69-2.90, 5 Hf 2.87-2.94
H1 0.5000 0.2638 0.4998  4 Rh 1.82-1.85, 1 H 1.89
Hf3 0.6287 0.5003 0.1842  11 Rh 2.74-2.94, 1 Hf 3.07
Rh8 0.8610 0.0004 0.7896  2 H 1.85
Rh9 0.8716 0.5003 0.5490  2 H 1.82
Hf4 0.8713 0.0003 0.3158  11 Rh 2.74-2.94, 1 Hf 3.07
H2 0.5000 0.7362 0.5002  4 Rh 1.82-1.85, 1 H 1.89
Rh10 0.3610 0.4996 0.2896  2 H 1.85
H3 0.0000 0.2362 0.9998  4 Rh 1.82-1.85, 1 H 1.89
H4 0.0000 0.7638 0.0002  4 Rh 1.82-1.85, 1 H 1.89
Rh11 0.6263 0.0003 0.4362  7 Rh 2.69-2.90, 5 Hf 2.87-2.94
Rh12 0.1390 0.9996 0.2104  2 H 1.85

***

## ZrTaMo2 (PBE-GGA)

Data for an optimized crystal structure of ZrTaMo2.

Values from the calculation:
Space-group type: No. 25
E above lowest polymorph in eV/atom: 0.319
E in eV/atom: -10.27
Energy of formation in eV/atom: 0.245

Cell: 2.7697 4.8067 5.4431 Å, 90.00 90.00 90.00°
Last column: nearest neighbours and their distance in Å.
Element x y z (fractional)
Zr1 0.5000 0.5000 0.7532  2 Mo 2.72-2.73, 2 Zr 2.77
Ta1 0.0000 0.0000 0.4931  2 Mo 2.68-2.77, 2 Ta 2.77
Mo1 0.5000 0.5000 0.2524  2 Zr 2.72-2.73, 2 Mo 2.77
Mo2 0.0000 0.0000 0.0013  2 Ta 2.68-2.77, 2 Mo 2.77

***

## SmYIn6 (PBE-GGA)

Data for an optimized crystal structure of SmYIn6.

Values from the calculation:
Space-group type: No. 123
E above lowest polymorph in eV/atom: 0.000
E in eV/atom: -3.89
Energy of formation in eV/atom: -0.443

Cell: 4.6638 4.6638 9.3294 Å, 90.00 90.00 90.00°
Last column: nearest neighbours and their distance in Å.
Element x y z (fractional)
In1 0.5000 0.5000 0.0000  4 Sm 3.30, 8 In 3.31
In2 0.0000 0.5000 0.7477  8 In 3.28-3.31, 2 Y 3.28, 2 Sm 3.31
In3 0.5000 0.0000 0.2523  8 In 3.28-3.31, 2 Y 3.28, 2 Sm 3.31
In4 0.5000 0.0000 0.7477  8 In 3.28-3.31, 2 Y 3.28, 2 Sm 3.31
Sm1 0.0000 0.0000 0.0000  12 In 3.30-3.31
In5 0.0000 0.5000 0.2523  8 In 3.28-3.31, 2 Y 3.28, 2 Sm 3.31
Y1 0.0000 0.0000 0.5000  12 In 3.28-3.30
In6 0.5000 0.5000 0.5000  8 In 3.28, 4 Y 3.30

***

## Y2CdCoB (PBE-GGA)

Data for an optimized crystal structure of Y2CdCoB.

Values from the calculation:
Space-group type: No. 123
E in eV/atom: -5.79
Energy of formation in eV/atom: -0.266

Cell: 5.1347 5.1347 3.8066 Å, 90.00 90.00 90.00°
Last column: nearest neighbours and their distance in Å.
Element x y z (fractional)
Y1 0.0000 0.5000 0.0000  2 B 2.57
Cd1 0.5000 0.5000 0.5000  8 Y 3.20
Y2 0.5000 0.0000 0.0000  2 B 2.57
B1 0.0000 0.0000 0.0000  2 Co 1.90
Co1 0.0000 0.0000 0.5000  2 B 1.90

***

## Np2SNO (PBE-GGA)

Data for an optimized crystal structure of Np2SNO.

Values from the calculation:
Space-group type: No. 12
ΔE_f (raw) in meV per atom: -1890
E in eV/atom: -10.55

Cell: 3.8250 6.6512 7.4656 Å, 81.61 75.16 73.29°
Last column: nearest neighbours and their distance in Å.
Element x y z (fractional)
Np1 0.4306 0.8095 0.3293  1 N 2.21, 2 O 2.26
Np2 0.5694 0.1905 0.6707  1 N 2.21, 2 O 2.26
S1 0.1843 0.2523 0.3792  5 Np 2.85-2.87
Np3 0.8217 0.2756 0.0809  3 N 2.27-2.29, 2 O 2.34-2.37
O1 0.9515 0.9133 0.1837  4 Np 2.26-2.37
Np4 0.1783 0.7244 0.9191  3 N 2.27-2.29, 2 O 2.34-2.37
N1 0.6451 0.6314 0.0784  4 Np 2.21-2.29
S2 0.8157 0.7477 0.6208  5 Np 2.85-2.87
N2 0.3549 0.3686 0.9216  4 Np 2.21-2.29
O2 0.0485 0.0867 0.8163  4 Np 2.26-2.37